Record 1
{
  "formula": "CdC3Se",
  "functional": "GGA-PBEsol",
  "state": "relaxed",
  "raw_formation_energy_ev_per_atom": 2.729,
  "lattice_angstrom": [[3.939, 0.000, 0.000], [0.000, 3.939, 0.000], [0.000, 0.000, 3.939]],
  "species": ["Cd", "C", "C", "C", "Se"],
  "frac_coords": [[0.000, 0.000, 0.000], [0.000, 0.500, 0.500], [0.500, 0.000, 0.500], [0.500, 0.500, 0.000], [0.500, 0.500, 0.500]]
}

***

Record 2
{
  "formula": "Li2Ca2In",
  "functional": "GGA-PBEsol",
  "state": "relaxed",
  "formation_enthalpy_0k_ev_per_atom": -0.17,
  "lattice_angstrom": [[7.620, 0.000, 0.000], [0.000, 7.620, 0.000], [0.000, 0.000, 4.465]],
  "species": ["Li", "Li", "Li", "Li", "Ca", "Ca", "Ca", "Ca", "In", "In"],
  "frac_coords": [[0.124, 0.376, 0.000], [0.376, 0.876, 0.000], [0.624, 0.124, 0.000], [0.876, 0.624, 0.000], [0.190, 0.690, 0.500], [0.310, 0.190, 0.500], [0.690, 0.810, 0.500], [0.810, 0.310, 0.500], [0.000, 0.000, 0.000], [0.500, 0.500, 0.000]]
}

***

Record 3
{
  "formula": "Te2P2O9",
  "functional": "GGA-PBEsol",
  "state": "relaxed",
  "raw_formation_energy_ev_per_atom": -1.669,
  "lattice_angstrom": [[2.689, -6.837, 0.000], [2.689, 6.837, 0.000], [-2.225, 0.000, 9.369]],
  "species": ["Te", "Te", "Te", "Te", "P", "P", "P", "P", "O", "O", "O", "O", "O", "O", "O", "O", "O", "O", "O", "O", "O", "O", "O", "O", "O", "O"],
  "frac_coords": [[0.032, 0.968, 0.500], [0.055, 0.479, 0.265], [0.479, 0.055, 0.765], [0.968, 0.032, 0.000], [0.279, 0.650, 0.967], [0.429, 0.622, 0.557], [0.622, 0.429, 0.057], [0.650, 0.279, 0.467], [0.046, 0.336, 0.910], [0.154, 0.937, 0.672], [0.200, 0.772, 0.897], [0.302, 0.366, 0.615], [0.313, 0.719, 0.607], [0.322, 0.708, 0.131], [0.336, 0.046, 0.410], [0.359, 0.547, 0.391], [0.366, 0.302, 0.115], [0.547, 0.359, 0.891], [0.548, 0.782, 0.924], [0.708, 0.322, 0.631], [0.719, 0.313, 0.107], [0.744, 0.854, 0.615], [0.772, 0.200, 0.397], [0.782, 0.548, 0.424], [0.854, 0.744, 0.115], [0.937, 0.154, 0.172]]
}

***

Record order is preserved below.
Spin magnetization: 0.0; 0.0; 0.0 μB/f.u.
Record order is preserved below.
E: -20.34; -24.03; -175.15 eV per cell